1.
A plane-wave DFT calculation with GGA-PBE was carried out for a relaxed Na3InS crystal.

a = 5.3477 Å, b = 5.3477 Å, c = 5.3477 Å
α = 90.00°, β = 90.00°, γ = 90.00°
With the nearest neighbours (Å) after each atom.
Atoms (fractional coordinates):
Na (0.0000, 0.5000, 0.0000)  2 S 2.67
Na (0.0000, 0.0000, 0.5000)  2 S 2.67
Na (0.5000, 0.0000, 0.0000)  2 S 2.67
S (0.0000, 0.0000, 0.0000)  6 Na 2.67
In (0.5000, 0.5000, 0.5000)  12 Na 3.78

Results
E above lowest polymorph: 0 meV/atom
E_form (uncorrected): -0.4004 eV/atom
SG: No. 221

---

2.
A plane-wave DFT calculation with GGA-PBE was carried out for a relaxed Na5In2S5 crystal.

a = 4.0007 Å, b = 6.9045 Å, c = 11.5355 Å
α = 107.32°, β = 90.00°, γ = 106.84°
With the nearest neighbours (Å) after each atom.
Atoms (fractional coordinates):
Na (0.5000, 0.0000, 0.5000)  4 S 2.86
Na (0.6568, 0.3137, 0.0519)  5 S 2.81-3.08
Na (0.7395, 0.4790, 0.3655)  3 S 2.79-2.81
Na (0.2605, 0.5210, 0.6345)  3 S 2.79-2.81
Na (0.3432, 0.6863, 0.9481)  5 S 2.81-3.08
In (0.0425, 0.0850, 0.7903)  4 S 2.47-2.65
In (0.9575, 0.9150, 0.2097)  4 S 2.47-2.65
S (0.1058, 0.2116, 0.4030)  1 In 2.47
S (0.6756, 0.3512, 0.8003)  2 In 2.64
S (0.3244, 0.6488, 0.1997)  2 In 2.64
S (0.8942, 0.7884, 0.5970)  1 In 2.47
S (0.0000, 0.0000, 0.0000)  2 In 2.65, 4 Na 2.81

Results
E_form (uncorrected): -0.8711 eV/atom
SG: No. 12

---

3.
A plane-wave DFT calculation with GGA-PBE was carried out for a relaxed Na8InS6 crystal.

a = 8.3783 Å, b = 7.5130 Å, c = 12.0521 Å
α = 90.00°, β = 90.00°, γ = 90.00°
With the nearest neighbours (Å) after each atom.
Atoms (fractional coordinates):
Na (0.3656, 0.0000, 0.9524)  4 S 2.79-3.08
Na (0.6344, 0.5000, 0.4524)  4 S 2.79-3.08
Na (0.9326, 0.7926, 0.1682)  4 S 2.73-2.94
Na (0.0674, 0.7074, 0.6682)  4 S 2.73-2.94
Na (0.0674, 0.2926, 0.6682)  4 S 2.73-2.94
Na (0.9326, 0.2074, 0.1682)  4 S 2.73-2.94
Na (0.4459, 0.7151, 0.6820)  4 S 2.73-2.85
Na (0.5541, 0.7849, 0.1820)  4 S 2.73-2.85
Na (0.5541, 0.2151, 0.1820)  4 S 2.73-2.85
Na (0.4459, 0.2849, 0.6820)  4 S 2.73-2.85
Na (0.7682, 0.7770, 0.8417)  4 S 2.79-3.07, 1 Na 2.97
Na (0.2318, 0.7230, 0.3417)  4 S 2.79-3.07, 1 Na 2.97
Na (0.2318, 0.2770, 0.3417)  4 S 2.79-3.07, 1 Na 2.97
Na (0.7682, 0.2230, 0.8417)  4 S 2.79-3.07, 1 Na 2.97
Na (0.2573, 0.0000, 0.5164)  3 S 2.63-2.83
Na (0.7427, 0.5000, 0.0164)  3 S 2.63-2.83
In (0.7539, 0.0000, 0.4735)  4 S 2.48-2.50
In (0.2461, 0.5000, 0.9735)  4 S 2.48-2.50
S (0.7183, 0.0000, 0.0240)  7 Na 2.79-3.08
S (0.2817, 0.5000, 0.5240)  7 Na 2.79-3.08
S (0.2518, 0.0000, 0.7349)  6 Na 2.63-2.80
S (0.7482, 0.5000, 0.2349)  6 Na 2.63-2.80
S (0.0031, 0.0000, 0.3618)  1 In 2.48
S (0.9969, 0.5000, 0.8618)  1 In 2.48
S (0.4990, 0.0000, 0.3669)  1 In 2.49, 3 Na 2.71-2.79
S (0.5010, 0.5000, 0.8669)  1 In 2.49, 3 Na 2.71-2.79
S (0.2459, 0.7490, 0.1113)  1 In 2.50, 3 Na 2.73-2.79
S (0.7541, 0.7510, 0.6113)  1 In 2.50, 3 Na 2.73-2.79
S (0.7541, 0.2490, 0.6113)  1 In 2.50, 3 Na 2.73-2.79
S (0.2459, 0.2510, 0.1113)  1 In 2.50, 3 Na 2.73-2.79

Results
E_form (uncorrected): -0.8635 eV/atom
SG: No. 31

---

4.
A plane-wave DFT calculation with GGA-PBE was carried out for a relaxed NaInS4 crystal.

a = 6.7126 Å, b = 9.2480 Å, c = 10.0482 Å
α = 103.73°, β = 91.54°, γ = 131.86°
With the nearest neighbours (Å) after each atom.
Atoms (fractional coordinates):
Na (0.2697, 0.0197, 0.5394)  4 S 2.86-2.88
Na (0.7303, 0.9803, 0.4606)  4 S 2.86-2.88
In (0.2519, 0.5019, 0.5038)  4 S 2.51-2.52
In (0.7481, 0.4981, 0.4962)  4 S 2.51-2.52
S (0.1822, 0.8964, 0.0321)  1 S 1.90
S (0.8499, 0.6357, 0.0321)  1 S 1.90
S (0.1398, 0.6528, 0.3779)  2 In 2.51-2.52
S (0.8602, 0.3472, 0.6221)  2 In 2.51-2.52
S (0.7620, 0.7749, 0.6221)  2 In 2.51-2.52
S (0.1501, 0.3643, 0.9679)  1 S 1.90
S (0.2380, 0.2251, 0.3779)  2 In 2.51-2.52
S (0.8178, 0.1036, 0.9679)  1 S 1.90

Results
E_form (uncorrected): -0.3163 eV/atom
SG: No. 15

---

- Number 3 is which compound?
  Na8InS6